No. 1
This record from Alexandria via LeMat-Bulk describes MgP2Rh after structural relaxation. The functional is PBE.

abc: 2.9399 3.9240 5.3005
angles: 90.00 90.00 90.00
With the nearest neighbours (Å) after each atom.
Fractional coordinates of all 4 atoms:
Mg  0.0000  0.0000  0.0000  6 P 2.58-2.70
P  0.0000  0.0000  0.5093  4 Rh 2.52, 2 Mg 2.60-2.70
P  0.5000  0.5000  0.1488  2 Rh 2.51-2.79, 4 Mg 2.58
Rh  0.5000  0.5000  0.6230  6 P 2.51-2.79

- Raw total energy: -5.157 eV per atom
- Space-group type: Pmm2, No. 25

=====

No. 2
This record from Alexandria via LeMat-Bulk describes Mg3PRh after structural relaxation. The functional is PBE.

abc: 4.8235 4.8235 4.8235
angles: 90.00 90.00 90.00
With the nearest neighbours (Å) after each atom.
Fractional coordinates of all 5 atoms:
Mg  0.0000  0.0000  0.5000  2 Rh 2.41
Mg  0.0000  0.5000  0.0000  2 Rh 2.41
Mg  0.5000  0.0000  0.0000  2 Rh 2.41
P  0.5000  0.5000  0.5000  12 Mg 3.41
Rh  0.0000  0.0000  0.0000  6 Mg 2.41

- Raw total energy: -3.306 eV per atom
- Space-group type: Pm-3m, No. 221
- Offset from the most stable computed form: 4.1 kJ/mol of atoms

=====

No. 3
This record from Alexandria via LeMat-Bulk describes MgP4Rh after structural relaxation. The functional is PBE.

abc: 5.0508 5.0508 5.0508
angles: 60.00 60.00 60.00
With the nearest neighbours (Å) after each atom.
Fractional coordinates of all 6 atoms:
Mg  0.0000  0.0000  0.0000  12 P 2.96, 4 Rh 3.09
P  0.1241  0.6253  0.6253  6 P 2.52-2.53
P  0.6253  0.1241  0.6253  6 P 2.52-2.53
P  0.6253  0.6253  0.1241  6 P 2.52-2.53
P  0.6253  0.6253  0.6253  6 P 2.52-2.53
Rh  0.2500  0.2500  0.2500  12 P 2.96, 4 Mg 3.09

- Raw total energy: -4.705 eV per atom
- Space-group type: F-43m, No. 216

=====

No. 4
This record from Alexandria via LeMat-Bulk describes Mg2PRh4 after structural relaxation. The functional is PBE.

abc: 7.2912 7.2912 7.2912
angles: 145.48 145.48 49.61
With the nearest neighbours (Å) after each atom.
Fractional coordinates of all 7 atoms:
Mg  0.1352  0.1352  0.0000  5 Rh 2.63-2.81
Mg  0.8648  0.8648  0.0000  5 Rh 2.63-2.81
P  0.5000  0.5000  0.0000  6 Rh 2.16-2.19
Rh  0.0000  0.5000  0.5000  2 P 2.16
Rh  0.3342  0.3342  0.0000  1 P 2.19
Rh  0.5000  0.0000  0.5000  2 P 2.16
Rh  0.6658  0.6658  0.0000  1 P 2.19

- Raw total energy: -5.593 eV per atom
- Space-group type: I4/mmm, No. 139

=====

No. 5
This record from Alexandria via LeMat-Bulk describes MgP2Rh after structural relaxation. The functional is PBE.

abc: 4.9324 4.9324 4.9324
angles: 135.20 135.20 65.21
With the nearest neighbours (Å) after each atom.
Fractional coordinates of all 4 atoms:
Mg  0.0000  0.0000  0.0000  8 P 2.66-2.80, 4 Rh 2.80
P  0.2500  0.7500  0.5000  4 Rh 2.66, 4 Mg 2.80, 4 P 2.80
P  0.5000  0.5000  0.0000  4 Mg 2.66, 4 Rh 2.80, 4 P 2.80
Rh  0.7500  0.2500  0.5000  8 P 2.66-2.80, 4 Mg 2.80

- Raw total energy: -5.061 eV per atom
- Space-group type: I-4m2, No. 119

=====

No. 6
This record from Alexandria via LeMat-Bulk describes MgP2Rh after structural relaxation. The functional is PBE.

abc: 7.4871 7.4871 7.4871
angles: 24.19 24.19 24.19
With the nearest neighbours (Å) after each atom.
Fractional coordinates of all 4 atoms:
Mg  0.0000  0.0000  0.0000  3 Rh 2.77, 3 P 2.79
P  0.2361  0.2361  0.2361  3 P 2.30
P  0.5043  0.5043  0.5043  3 P 2.30, 3 Rh 2.44
Rh  0.7628  0.7628  0.7628  3 P 2.44

- Raw total energy: -5.136 eV per atom
- Space-group type: R3m, No. 160

=====

No. 7
This record from Alexandria via LeMat-Bulk describes Mg2PRh2 after structural relaxation. The functional is PBE.

abc: 6.1089 6.1089 4.3066
angles: 90.00 90.00 90.00
With the nearest neighbours (Å) after each atom.
Fractional coordinates of all 10 atoms:
Mg  0.1624  0.3376  0.0000  6 Rh 2.65-2.91, 1 Mg 2.81
Mg  0.3376  0.8376  0.0000  6 Rh 2.65-2.91, 1 Mg 2.81
Mg  0.6624  0.1624  0.0000  6 Rh 2.65-2.91, 1 Mg 2.81
Mg  0.8376  0.6624  0.0000  6 Rh 2.65-2.91, 1 Mg 2.81
P  0.0000  0.0000  0.5000  4 Rh 2.30
P  0.5000  0.5000  0.5000  4 Rh 2.30
Rh  0.1591  0.6591  0.5000  2 P 2.30
Rh  0.3409  0.1591  0.5000  2 P 2.30
Rh  0.6591  0.8409  0.5000  2 P 2.30
Rh  0.8409  0.3409  0.5000  2 P 2.30

- Raw total energy: -5.282 eV per atom
- Space-group type: P4/mbm, No. 127

=====

No. 8
This record from Alexandria via LeMat-Bulk describes MgP2Rh after structural relaxation. The functional is PBE.

abc: 4.3866 4.3866 4.3866
angles: 60.00 60.00 60.00
With the nearest neighbours (Å) after each atom.
Fractional coordinates of all 4 atoms:
Mg  0.0000  0.0000  0.0000  4 Rh 2.69, 4 P 2.69
P  0.2500  0.2500  0.2500  4 P 2.69, 4 Mg 2.69
P  0.5000  0.5000  0.5000  4 P 2.69, 4 Rh 2.69
Rh  0.7500  0.7500  0.7500  4 P 2.69, 4 Mg 2.69

- Raw total energy: -4.833 eV per atom
- Space-group type: F-43m, No. 216

=====

Copy entry 8 word for word.
This record from Alexandria via LeMat-Bulk describes MgP2Rh after structural relaxation. The functional is PBE.

abc: 4.3866 4.3866 4.3866
angles: 60.00 60.00 60.00
With the nearest neighbours (Å) after each atom.
Fractional coordinates of all 4 atoms:
Mg  0.0000  0.0000  0.0000  4 Rh 2.69, 4 P 2.69
P  0.2500  0.2500  0.2500  4 P 2.69, 4 Mg 2.69
P  0.5000  0.5000  0.5000  4 P 2.69, 4 Rh 2.69
Rh  0.7500  0.7500  0.7500  4 P 2.69, 4 Mg 2.69

- Raw total energy: -4.833 eV per atom
- Space-group type: F-43m, No. 216